# NbSiBi2Pd, optimized geometry, DFT GGA-PBE
# formation energy (no corrections) = 0.8230 eV per atom
# Fermi-level density of states = 0.7919 states/eV per atom
# DFT total energy = -4.87 eV/atom
data_NbSiBi2Pd
_chemical_formula_sum 'Nb1 Si1 Bi2 Pd1'
_symmetry_space_group_name_H-M 'P 4/m m m'
_symmetry_Int_Tables_number 123
_symmetry_space_group_name_Hall '-P 4 2'
_cell_length_a 5.406
_cell_length_b 5.406
_cell_length_c 4.456
_cell_angle_alpha 90.00
_cell_angle_beta 90.00
_cell_angle_gamma 90.00
loop_
_atom_site_label
_atom_site_type_symbol
_atom_site_fract_x
_atom_site_fract_y
_atom_site_fract_z
Nb1 Nb 0.000 0.000 0.000
Si1 Si 0.500 0.500 0.500
Bi1 Bi 0.000 0.500 0.500
Pd1 Pd 0.500 0.500 0.000



# Pm3SmEr3, optimized geometry, DFT GGA-PBE
# energy of formation from the pure elements = 5.410 kcal/mol of atoms
# Fermi-level density of states = 1.5071 states/eV per atom
# DFT total energy = -4.43 eV/atom
# polymorph energy (0 for the lowest one) = 0.035 eV per atom
data_Pm3SmEr3
_chemical_formula_sum 'Pm9 Sm3 Er9'
_symmetry_space_group_name_H-M 'R 3 m'
_symmetry_Int_Tables_number 160
_symmetry_space_group_name_Hall 'R 3 -2"'
_cell_length_a 9.9348
_cell_length_b 9.9348
_cell_length_c 8.2171
_cell_angle_alpha 90.00
_cell_angle_beta 90.00
_cell_angle_gamma 120.00
loop_
_atom_site_label
_atom_site_type_symbol
_atom_site_fract_x
_atom_site_fract_y
_atom_site_fract_z
Pm1 Pm 0.0934 0.5467 0.0000
Sm1 Sm 0.0000 0.0000 0.0405
Er1 Er 0.0648 0.5324 0.4292



# Cs2InHgBr6, optimized geometry, DFT GGA-PBE
# formation energy (no corrections) = -1.1275 eV per atom
# Fermi-level density of states = 0.0667 states/eV per atom
# DFT total energy = -2.61 eV/atom
data_Cs2InHgBr6
_chemical_formula_sum 'Cs8 In4 Hg4 Br24'
_symmetry_space_group_name_H-M 'F m -3 m'
_symmetry_Int_Tables_number 225
_symmetry_space_group_name_Hall '-F 4 2 3'
_cell_length_a 11.422
_cell_length_b 11.422
_cell_length_c 11.422
_cell_angle_alpha 90.00
_cell_angle_beta 90.00
_cell_angle_gamma 90.00
loop_
_atom_site_label
_atom_site_type_symbol
_atom_site_fract_x
_atom_site_fract_y
_atom_site_fract_z
Cs1 Cs 0.250 0.250 0.250
In1 In 0.000 0.000 0.000
Hg1 Hg 0.000 0.000 0.500
Br1 Br 0.000 0.000 0.242



# Cu3SnPd3, optimized geometry, DFT GGA-PBE
# energy of formation from the pure elements = -3.893 kcal/mol of atoms
# Fermi-level density of states = 0.3489 states/eV per atom
# DFT total energy = -4.72 eV/atom
data_Cu3SnPd3
_chemical_formula_sum 'Cu12 Sn4 Pd12'
_symmetry_space_group_name_H-M 'C m m m'
_symmetry_Int_Tables_number 65
_symmetry_space_group_name_Hall '-C 2 2'
_cell_length_a 8.541
_cell_length_b 8.725
_cell_length_c 5.870
_cell_angle_alpha 90.00
_cell_angle_beta 90.00
_cell_angle_gamma 90.00
loop_
_atom_site_label
_atom_site_type_symbol
_atom_site_fract_x
_atom_site_fract_y
_atom_site_fract_z
Cu1 Cu 0.000 0.226 0.000
Cu2 Cu 0.000 0.237 0.500
Cu3 Cu 0.218 0.000 0.000
Sn1 Sn 0.220 0.000 0.500
Pd1 Pd 0.000 0.500 0.242
Pd2 Pd 0.250 0.250 0.241



# Mg2Sc2Ag, optimized geometry, DFT GGA-PBE
# energy of formation from the pure elements = -2.756 kcal/mol of atoms
# Fermi-level density of states = 0.8163 states/eV per atom
# DFT total energy = -3.86 eV/atom
# polymorph energy (0 for the lowest one) = 0.000 eV per atom
data_Mg2Sc2Ag
_chemical_formula_sum 'Mg4 Sc4 Ag2'
_symmetry_space_group_name_H-M 'I 4/m m m'
_symmetry_Int_Tables_number 139
_symmetry_space_group_name_Hall '-I 4 2'
_cell_length_a 3.394
_cell_length_b 3.394
_cell_length_c 19.234
_cell_angle_alpha 90.00
_cell_angle_beta 90.00
_cell_angle_gamma 90.00
loop_
_atom_site_label
_atom_site_type_symbol
_atom_site_fract_x
_atom_site_fract_y
_atom_site_fract_z
Mg1 Mg 0.000 0.000 0.200
Sc1 Sc 0.000 0.000 0.411
Ag1 Ag 0.000 0.000 0.000



# AlBOs2, optimized geometry, DFT GGA-PBE
# energy of formation from the pure elements = 5.216 kcal/mol of atoms
# Fermi-level density of states = 0.6037 states/eV per atom
# DFT total energy = -7.99 eV/atom
# polymorph energy (0 for the lowest one) = 0.233 eV per atom
data_AlBOs2
_chemical_formula_sum 'Al4 B4 Os8'
_symmetry_space_group_name_H-M 'F m -3 m'
_symmetry_Int_Tables_number 225
_symmetry_space_group_name_Hall '-F 4 2 3'
_cell_length_a 5.776
_cell_length_b 5.776
_cell_length_c 5.776
_cell_angle_alpha 90.00
_cell_angle_beta 90.00
_cell_angle_gamma 90.00
loop_
_atom_site_label
_atom_site_type_symbol
_atom_site_fract_x
_atom_site_fract_y
_atom_site_fract_z
Al1 Al 0.000 0.000 0.000
B1 B 0.000 0.000 0.500
Os1 Os 0.250 0.250 0.250



# Ag2Pt, optimized geometry, DFT GGA-PBE
# energy of formation from the pure elements = -0.305 kcal/mol of atoms
# Fermi-level density of states = 0.3835 states/eV per atom
# DFT total energy = -3.93 eV/atom
# polymorph energy (0 for the lowest one) = 0.001 eV per atom
data_Ag2Pt
_chemical_formula_sum 'Ag8 Pt4'
_symmetry_space_group_name_H-M 'P n m a'
_symmetry_Int_Tables_number 62
_cell_length_a 5.764
_cell_length_b 2.844
_cell_length_c 12.362
_cell_angle_alpha 90.00
_cell_angle_beta 90.00
_cell_angle_gamma 90.00
loop_
_symmetry_equiv_pos_as_xyz
'x,y,z'
'-x,-y,-z'
'-x+1/2,-y,z+1/2'
'x+1/2,y,-z+1/2'
'x+1/2,-y+1/2,-z+1/2'
'-x+1/2,y+1/2,z+1/2'
'-x,y+1/2,-z'
'x,-y+1/2,z'
loop_
_atom_site_label
_atom_site_type_symbol
_atom_site_fract_x
_atom_site_fract_y
_atom_site_fract_z
Ag1 Ag 0.123 0.250 0.082
Ag2 Ag 0.131 0.250 0.753
Pt1 Pt 0.115 0.250 0.419



# Li2PmYS4, optimized geometry, DFT GGA-PBE
# formation energy (no corrections) = -1.8214 eV per atom
# Fermi-level density of states = 0.0000 states/eV per atom
# DFT total energy = -5.77 eV/atom
data_Li2PmYS4
_chemical_formula_sum 'Li2 Pm1 Y1 S4'
_symmetry_space_group_name_H-M 'P 1 2/m 1'
_symmetry_Int_Tables_number 10
_cell_length_a 6.602
_cell_length_b 3.974
_cell_length_c 6.882
_cell_angle_alpha 90.00
_cell_angle_beta 110.30
_cell_angle_gamma 90.00
loop_
_symmetry_equiv_pos_as_xyz
'x,y,z'
'-x,-y,-z'
'-x,y,-z'
'x,-y,z'
loop_
_atom_site_label
_atom_site_type_symbol
_atom_site_fract_x
_atom_site_fract_y
_atom_site_fract_z
Li1 Li 0.000 0.000 0.000
Li2 Li 0.000 0.500 0.500
Pm1 Pm 0.500 0.000 0.500
Y1 Y 0.500 0.500 0.000
S1 S 0.246 0.500 0.243
S2 S 0.248 0.000 0.755



# Hf2NbS, optimized geometry, DFT GGA-PBE
# formation energy (no corrections) = -0.1919 eV per atom
# Fermi-level density of states = 1.0982 states/eV per atom
# DFT total energy = -8.72 eV/atom
data_Hf2NbS
_chemical_formula_sum 'Hf8 Nb4 S4'
_symmetry_space_group_name_H-M 'I -4 2 d'
_symmetry_Int_Tables_number 122
_symmetry_space_group_name_Hall 'I -4 2bw'
_cell_length_a 8.011
_cell_length_b 8.011
_cell_length_c 5.086
_cell_angle_alpha 90.00
_cell_angle_beta 90.00
_cell_angle_gamma 90.00
loop_
_atom_site_label
_atom_site_type_symbol
_atom_site_fract_x
_atom_site_fract_y
_atom_site_fract_z
Hf1 Hf 0.158 0.250 0.125
Nb1 Nb 0.000 0.000 0.500
S1 S 0.000 0.000 0.000



# MoSeN2, optimized geometry, DFT GGA-PBE
# formation energy (no corrections) = 0.4868 eV per atom
# Fermi-level density of states = 0.5040 states/eV per atom
# DFT total energy = -7.25 eV/atom
data_MoSeN2
_chemical_formula_sum 'Mo4 Se4 N8'
_symmetry_space_group_name_H-M 'I -4 2 d'
_symmetry_Int_Tables_number 122
_symmetry_space_group_name_Hall 'I -4 2bw'
_cell_length_a 6.054
_cell_length_b 6.054
_cell_length_c 8.562
_cell_angle_alpha 90.00
_cell_angle_beta 90.00
_cell_angle_gamma 90.00
loop_
_atom_site_label
_atom_site_type_symbol
_atom_site_fract_x
_atom_site_fract_y
_atom_site_fract_z
Mo1 Mo 0.000 0.000 0.000
Se1 Se 0.000 0.000 0.500
N1 N 0.001 0.750 0.125



# Ta3CoS6, optimized geometry, DFT GGA-PBE
# formation energy (no corrections) = -0.9824 eV per atom
# Fermi-level density of states = 0.5166 states/eV per atom
# DFT total energy = -7.73 eV/atom
# polymorph energy (0 for the lowest one) = 0.000 eV per atom
data_Ta3CoS6
_chemical_formula_sum 'Ta6 Co2 S12'
_symmetry_space_group_name_H-M 'P 63 2 2'
_symmetry_Int_Tables_number 182
_symmetry_space_group_name_Hall 'P 6c 2c'
_cell_length_a 5.7803
_cell_length_b 5.7803
_cell_length_c 11.8861
_cell_angle_alpha 90.00
_cell_angle_beta 90.00
_cell_angle_gamma 120.00
loop_
_atom_site_label
_atom_site_type_symbol
_atom_site_fract_x
_atom_site_fract_y
_atom_site_fract_z
Ta1 Ta 0.0000 0.0000 0.0000
Ta2 Ta 0.3333 0.6667 0.0022
Co1 Co 0.3333 0.6667 0.7500
S1 S 0.0011 0.3333 0.6318



# ErPRh2, optimized geometry, DFT GGA-PBE
# energy of formation from the pure elements = -21.075 kcal/mol of atoms
# Fermi-level density of states = 0.5905 states/eV per atom
# DFT total energy = -7.08 eV/atom
data_ErPRh2
_chemical_formula_sum 'Er2 P2 Rh4'
_symmetry_space_group_name_H-M 'P m m n'
_symmetry_Int_Tables_number 59
_cell_length_a 4.106
_cell_length_b 5.603
_cell_length_c 5.960
_cell_angle_alpha 90.00
_cell_angle_beta 90.00
_cell_angle_gamma 90.00
loop_
_symmetry_equiv_pos_as_xyz
'x,y,z'
'-x,-y,-z'
'-x+1/2,-y+1/2,z'
'x+1/2,y+1/2,-z'
'x+1/2,-y,-z'
'-x+1/2,y,z'
'-x,y+1/2,-z'
'x,-y+1/2,z'
loop_
_atom_site_label
_atom_site_type_symbol
_atom_site_fract_x
_atom_site_fract_y
_atom_site_fract_z
Er1 Er 0.250 0.250 0.109
P1 P 0.250 0.750 0.335
Rh1 Rh 0.250 0.013 0.655



# Er2TmTl2Cd2, optimized geometry, DFT GGA-PBE
# energy of formation from the pure elements = -2.167 kcal/mol of atoms
# Fermi-level density of states = 0.6424 states/eV per atom
# DFT total energy = -2.97 eV/atom
data_Er2TmTl2Cd2
_chemical_formula_sum 'Er6 Tm3 Tl6 Cd6'
_symmetry_space_group_name_H-M 'R -3 m'
_symmetry_Int_Tables_number 166
_symmetry_space_group_name_Hall '-R 3 2"'
_cell_length_a 5.0110
_cell_length_b 5.0110
_cell_length_c 25.6405
_cell_angle_alpha 90.00
_cell_angle_beta 90.00
_cell_angle_gamma 120.00
loop_
_atom_site_label
_atom_site_type_symbol
_atom_site_fract_x
_atom_site_fract_y
_atom_site_fract_z
Er1 Er 0.0000 0.0000 0.1334
Tm1 Tm 0.0000 0.0000 0.0000
Tl1 Tl 0.0000 0.0000 0.2711
Cd1 Cd 0.0000 0.0000 0.4307